# 1
NaVAs2 | the Alexandria database | PBE | relaxed; space-group type = No. 160; VASP energy = -21.13 eV/cell; calculated volume = 18.7 Å³/atom; magnetization = 0.0 μB/f.u.; DFT formation energy = -1.394 eV per formula unit
1.0
1.6284 0.9401 8.1582
-1.6284 0.9401 8.1582
0.0000 -1.8803 8.1582
Na V As
1 1 2
Direct
0.0000 0.0000 0.0000
0.1662 0.1662 0.1662
0.5685 0.5685 0.5685
0.7640 0.7640 0.7640


# 2
NbGa2I2 | the Alexandria database | PBE | relaxed; space-group type = No. 139; VASP energy = -18.10 eV/cell; calculated volume = 29.6 Å³/atom; magnetization = 0.0 μB/f.u.; E_form (uncorrected) = 225 meV/atom
1.0
-1.7747 1.7747 11.7322
1.7747 -1.7747 11.7322
1.7747 1.7747 -11.7322
Nb Ga I
1 2 2
Direct
0.0000 0.0000 0.0000
0.2500 0.7500 0.5000
0.7500 0.2500 0.5000
0.4267 0.4267 0.0000
0.5733 0.5733 0.0000


# 3
Ac2HgAs4Pd3 | the Alexandria database | PBE | relaxed; space-group type = No. 115; VASP energy = -50.53 eV/cell; calculated volume = 22.0 Å³/atom; magnetization = 0.0 μB/f.u.; DFT formation energy = -7.832 eV per formula unit
1.0
4.6116 0.0000 0.0000
0.0000 4.6116 0.0000
0.0000 0.0000 10.3363
Ac Hg As Pd
2 1 4 3
Direct
0.0000 0.5000 0.2393
0.5000 0.0000 0.7607
0.0000 0.0000 0.5000
0.0000 0.0000 0.0000
0.0000 0.5000 0.6458
0.5000 0.0000 0.3542
0.5000 0.5000 0.0000
0.0000 0.5000 0.8894
0.5000 0.0000 0.1106
0.5000 0.5000 0.5000


# 4
YMg2Al | the Alexandria database | PBE | relaxed; space-group type = No. 99; VASP energy = -13.95 eV/cell; calculated volume = 23.2 Å³/atom; magnetization = 0.2 μB/f.u.; DFT formation energy = -0.552 eV per formula unit
1.0
3.3943 0.0000 0.0000
0.0000 3.3943 0.0000
0.0000 0.0000 8.0534
Y Mg Al
1 2 1
Direct
0.0000 0.0000 0.0000
0.0000 0.0000 0.4560
0.5000 0.5000 0.7019
0.5000 0.5000 0.2483


# 5
ScCr3 | the Alexandria database | PBE | relaxed; space-group type = No. 10; VASP energy = -33.91 eV/cell; calculated volume = 14.4 Å³/atom; magnetization = 0.0 μB/f.u.; DFT formation energy = 1.293 eV per formula unit
1.0
2.7990 0.0000 0.0000
0.0000 3.8649 0.0000
-1.2226 0.0000 5.3066
Sc Cr
1 3
Direct
0.0000 0.0000 0.0000
0.2618 0.5000 0.6886
0.5000 0.0000 0.5000
0.7382 0.5000 0.3114


# 6
Ac8CoP3I4 | the Alexandria database | PBE | relaxed; space-group type = No. 166; VASP energy = -80.19 eV/cell; calculated volume = 35.1 Å³/atom; magnetization = 0.1 μB/f.u.; E_form (uncorrected) = -1112 meV/atom
1.0
4.4577 2.5737 8.1666
-4.4577 2.5737 8.1666
0.0000 -5.1473 8.1666
Ac Co P I
8 1 3 4
Direct
0.2324 0.2324 0.2324
0.2457 0.7224 0.7224
0.2776 0.2776 0.7543
0.2776 0.7543 0.2776
0.7224 0.2457 0.7224
0.7224 0.7224 0.2457
0.7543 0.2776 0.2776
0.7676 0.7676 0.7676
0.5000 0.5000 0.5000
0.0000 0.0000 0.5000
0.0000 0.5000 0.0000
0.5000 0.0000 0.0000
0.0000 0.0000 0.0000
0.0000 0.5000 0.5000
0.5000 0.0000 0.5000
0.5000 0.5000 0.0000


# 7
MgMn2RhN | the Alexandria database | PBE | relaxed; space-group type = No. 123; VASP energy = -36.68 eV/cell; calculated volume = 12.4 Å³/atom; magnetization = 4.2 μB/f.u.; E_form (uncorrected) = -213 meV/atom
1.0
3.8063 0.0000 0.0000
0.0000 3.8063 0.0000
0.0000 0.0000 4.2755
Mg Mn Rh N
1 2 1 1
Direct
0.0000 0.0000 0.0000
0.0000 0.5000 0.5000
0.5000 0.0000 0.5000
0.5000 0.5000 0.0000
0.5000 0.5000 0.5000


# 8
BaTl2Cl8 | the Alexandria database | PBE | relaxed; space-group type = No. 97; VASP energy = -33.35 eV/cell; calculated volume = 33.1 Å³/atom; magnetization = 0.0 μB/f.u.; E_form (uncorrected) = -1084 meV/atom
1.0
-3.6045 3.6045 7.0047
3.6045 -3.6045 7.0047
3.6045 3.6045 -7.0047
Ba Tl Cl
1 2 8
Direct
0.0000 0.0000 0.0000
0.2500 0.7500 0.5000
0.7500 0.2500 0.5000
0.0567 0.5530 0.8613
0.1954 0.0567 0.5036
0.3083 0.4470 0.5036
0.4470 0.9433 0.1387
0.5530 0.6917 0.4964
0.6917 0.1954 0.1387
0.8046 0.3083 0.8613
0.9433 0.8046 0.4964


Q: The highest VASP energy belongs to which entry?
A: YMg2Al


What did the fifth record say?
ScCr3 | the Alexandria database | PBE | relaxed; space-group type = No. 10; VASP energy = -33.91 eV/cell; calculated volume = 14.4 Å³/atom; magnetization = 0.0 μB/f.u.; DFT formation energy = 1.293 eV per formula unit
1.0
2.7990 0.0000 0.0000
0.0000 3.8649 0.0000
-1.2226 0.0000 5.3066
Sc Cr
1 3
Direct
0.0000 0.0000 0.0000
0.2618 0.5000 0.6886
0.5000 0.0000 0.5000
0.7382 0.5000 0.3114


Q: Which of these has the highest VASP energy?
A: YMg2Al


Q: What is the VASP energy in the eighth record?
A: -33.35 eV/cell